Below is crystalline Er2CdGa3 at its relaxed geometry, with properties calculated at the PBE-GGA level.

The structure in CIF format:
```
data_Er2CdGa3
_chemical_formula_sum 'Er16 Cd8 Ga24'
_cell_length_a 7.112
_cell_length_b 9.084
_cell_length_c 15.593
_cell_angle_alpha 90.00
_cell_angle_beta 90.00
_cell_angle_gamma 90.00
_symmetry_space_group_name_H-M 'F m m m'
_symmetry_Int_Tables_number 69
_symmetry_space_group_name_Hall '-F 2 2'
loop_
_atom_site_label
_atom_site_type_symbol
_atom_site_fract_x
_atom_site_fract_y
_atom_site_fract_z
_atom_site_occupancy
Er1 Er 0.248 0.000 0.000 1
Er2 Er 0.250 0.250 0.250 1
Cd1 Cd 0.000 0.000 0.334 1
Ga1 Ga 0.000 0.000 0.163 1
Ga2 Ga 0.000 0.245 0.082 1
```

Summary:
- Formation enthalpy at 0 K: -513.3 meV/atom
- Theoretical density: 8.7 g cm⁻³
- Total magnetization: 0.000 μB per atom
- Energy: -3.700 eV/atom